[1]
The following is a PBEsol calculation of a relaxed Li2TcBr crystal, from the Alexandria database.

Results
DOS at the Fermi energy: 2.6 states/eV/cell
distance to the lowest polymorph of the same formula: 0.093 eV/atom
M_tot: 0.00 μB/f.u.
volume: 63.6 Å³/cell
ΔE_f (raw): 309.1 meV/atom

abc: 3.032 4.482 5.406
angles: 114.49 106.29 90.00
Positions (direct):
Br 0.765 0.265 0.529
Li 0.020 0.020 0.040
Tc 0.469 0.469 0.938
Li 0.247 0.747 0.493

=====

[2]
The following is a PBEsol calculation of a relaxed ZrScTiSe2 crystal, from the Alexandria database.

Results
DOS at the Fermi energy: 4.1 states/eV/cell
M_tot: 0.00 μB/f.u.
volume: 111.4 Å³/cell
ΔE_f (raw): -79.7 meV/atom

abc: 4.852 4.852 4.731
angles: 90.00 90.00 90.00
Positions (direct):
Zr 0.000 0.000 0.500
Se 0.500 0.000 0.000
Se 0.000 0.500 0.000
Ti 0.000 0.000 0.000
Sc 0.500 0.500 0.500

=====

[3]
The following is a PBEsol calculation of a relaxed HfReNi2W crystal, from the Alexandria database.

Results
DOS at the Fermi energy: 4.7 states/eV/cell
formation energy: 205 kJ/mol of atoms
M_tot: 0.52 μB/f.u.
volume: 87.0 Å³/cell

abc: 4.231 4.231 4.859
angles: 90.00 90.00 90.00
Positions (direct):
Ni 0.000 0.500 0.000
Hf 0.000 0.000 0.000
Re 0.500 0.500 0.500
Ni 0.500 0.000 0.000
W 0.000 0.000 0.500

=====

[4]
The following is a PBEsol calculation of a relaxed CuPb3I crystal, from the Alexandria database.

Results
DOS at the Fermi energy: 3.6 states/eV/cell
M_tot: 0.00 μB/f.u.
volume: 203.1 Å³/cell
ΔE_f (raw): 1166.3 meV/atom

abc: 5.878 5.878 5.878
angles: 90.00 90.00 90.00
Positions (direct):
Pb 0.500 0.000 0.000
Cu 0.500 0.500 0.500
Pb 0.000 0.000 0.500
I 0.000 0.000 0.000
Pb 0.000 0.500 0.000

=====

[5]
The following is a PBEsol calculation of a relaxed CaBiS2N crystal, from the Alexandria database.

Results
DOS at the Fermi energy: 1.3 states/eV/cell
M_tot: 2.13 μB/f.u.
volume: 114.1 Å³/cell
ΔE_f (raw): 414.9 meV/atom

abc: 4.267 5.170 5.170
angles: 90.00 90.00 90.00
Positions (direct):
S 0.000 0.500 0.000
S 0.000 0.000 0.500
Bi 0.500 0.500 0.500
Ca 0.000 0.000 0.000
N 0.500 0.000 0.000

=====

[6]
The following is a PBEsol calculation of a relaxed CaBi2B2O7 crystal, from the Alexandria database.

Results
DOS at the Fermi energy: 0.0 states/eV/cell
M_tot: 0.00 μB/f.u.
volume: 596.5 Å³/cell
ΔE_f (raw): -2124.3 meV/atom

abc: 5.446 8.831 12.404
angles: 90.00 90.00 90.00
Positions (direct):
Ca 0.047 0.667 0.250
Bi 0.939 0.330 0.087
Bi 0.439 0.170 0.913
B 0.511 0.516 0.117
B 0.011 0.984 0.617
O 0.035 0.369 0.250
Bi 0.061 0.670 0.587
O 0.229 0.899 0.619
O 0.729 0.601 0.119
O 0.796 0.905 0.893
O 0.535 0.131 0.750
O 0.704 0.405 0.893
B 0.489 0.484 0.617
O 0.271 0.399 0.619
Ca 0.453 0.167 0.250
Ca 0.953 0.333 0.750
O 0.229 0.899 0.881
Bi 0.439 0.170 0.587
B 0.989 0.016 0.117
O 0.729 0.601 0.381
O 0.465 0.869 0.250
O 0.967 0.862 0.121
B 0.011 0.984 0.883
B 0.989 0.016 0.383
O 0.771 0.101 0.119
Bi 0.561 0.830 0.413
O 0.771 0.101 0.381
Bi 0.939 0.330 0.413
Bi 0.561 0.830 0.087
O 0.271 0.399 0.881
O 0.467 0.638 0.879
B 0.511 0.516 0.383
O 0.533 0.362 0.379
O 0.204 0.095 0.107
O 0.467 0.638 0.621
O 0.796 0.905 0.607
Bi 0.061 0.670 0.913
O 0.033 0.138 0.879
O 0.033 0.138 0.621
O 0.296 0.595 0.107
O 0.204 0.095 0.393
O 0.704 0.405 0.607
O 0.296 0.595 0.393
Ca 0.547 0.833 0.750
O 0.533 0.362 0.121
O 0.965 0.631 0.750
O 0.967 0.862 0.379
B 0.489 0.484 0.883

=====

[7]
The following is a PBEsol calculation of a relaxed MoIr2Cl crystal, from the Alexandria database.

Results
DOS at the Fermi energy: 4.7 states/eV/cell
distance to the lowest polymorph of the same formula: 0.000 eV/atom
M_tot: 0.00 μB/f.u.
volume: 63.5 Å³/cell
ΔE_f (raw): 260.2 meV/atom

abc: 2.761 2.761 8.333
angles: 90.00 90.00 90.00
Positions (direct):
Mo 0.000 0.000 0.495
Ir 0.000 0.000 0.045
Ir 0.500 0.500 0.275
Cl 0.500 0.500 0.685

=====

[8]
The following is a PBEsol calculation of a relaxed BaZr2BiSe crystal, from the Alexandria database.

Results
DOS at the Fermi energy: 5.8 states/eV/cell
M_tot: 0.00 μB/f.u.
volume: 167.4 Å³/cell
ΔE_f (raw): 1678.5 meV/atom

abc: 5.285 5.285 5.993
angles: 90.00 90.00 90.00
Positions (direct):
Se 0.500 0.500 0.500
Ba 0.000 0.000 0.000
Bi 0.000 0.000 0.500
Zr 0.500 0.000 0.000
Zr 0.000 0.500 0.000

=====

[9]
The following is a PBEsol calculation of a relaxed Sr2Sb2Se crystal, from the Alexandria database.

Results
DOS at the Fermi energy: 3.8 states/eV/cell
M_tot: 0.00 μB/f.u.
volume: 328.8 Å³/cell
ΔE_f (raw): -922.7 meV/atom

abc: 4.944 8.155 8.155
angles: 90.00 90.00 90.00
Positions (direct):
Sr 0.000 0.320 0.820
Sb 0.500 0.118 0.618
Sb 0.500 0.382 0.118
Sr 0.000 0.180 0.320
Se 0.000 0.000 0.000
Se 0.000 0.500 0.500
Sb 0.500 0.618 0.882
Sb 0.500 0.882 0.382
Sr 0.000 0.820 0.680
Sr 0.000 0.680 0.180

=====

[10]
The following is a PBEsol calculation of a relaxed CrRe3 crystal, from the Alexandria database.

Results
DOS at the Fermi energy: 3.7 states/eV/cell
formation energy: 13 kJ/mol of atoms
M_tot: 0.00 μB/f.u.
volume: 55.7 Å³/cell

abc: 3.827 3.827 4.669
angles: 114.20 114.20 90.00
Positions (direct):
Re 0.500 0.500 0.000
Cr 0.000 0.000 0.000
Re 0.250 0.750 0.500
Re 0.750 0.250 0.500

=====

[11]
The following is a PBEsol calculation of a relaxed Zr3IrSe crystal, from the Alexandria database.

Results
DOS at the Fermi energy: 3.0 states/eV/cell
M_tot: 0.00 μB/f.u.
volume: 110.9 Å³/cell
ΔE_f (raw): 156.4 meV/atom

abc: 4.804 4.804 4.804
angles: 90.00 90.00 90.00
Positions (direct):
Zr 0.000 0.500 0.000
Ir 0.500 0.500 0.500
Zr 0.500 0.000 0.000
Se 0.000 0.000 0.000
Zr 0.000 0.000 0.500

=====

[12]
The following is a PBEsol calculation of a relaxed YTlAg crystal, from the Alexandria database.

Results
DOS at the Fermi energy: 2.0 states/eV/cell
formation energy: -35 kJ/mol of atoms
M_tot: 0.00 μB/f.u.
volume: 68.7 Å³/cell

abc: 3.442 4.799 4.799
angles: 120.00 90.00 90.00
Positions (direct):
Y 0.500 0.667 0.333
Tl 0.000 0.333 0.667
Ag 0.000 0.000 0.000

=====

[13]
The following is a PBEsol calculation of a relaxed CaLaCd2 crystal, from the Alexandria database.

Results
DOS at the Fermi energy: 3.8 states/eV/cell
distance to the lowest polymorph of the same formula: 0.132 eV/atom
formation energy: -23 kJ/mol of atoms
M_tot: 0.00 μB/f.u.
volume: 111.0 Å³/cell

abc: 3.620 5.434 6.520
angles: 114.63 106.12 90.00
Positions (direct):
Cd 0.726 0.226 0.453
La 0.476 0.476 0.952
Ca 0.270 0.770 0.541
Cd 0.027 0.027 0.055

=====

[14]
The following is a PBEsol calculation of a relaxed LiMn2PIr crystal, from the Alexandria database.

Results
DOS at the Fermi energy: 5.2 states/eV/cell
formation energy: 102 kJ/mol of atoms
M_tot: 8.21 μB/f.u.
volume: 95.8 Å³/cell

abc: 4.371 4.682 4.682
angles: 90.00 90.00 90.00
Positions (direct):
Li 0.500 0.000 0.000
P 0.500 0.500 0.500
Mn 0.000 0.500 0.000
Ir 0.000 0.000 0.000
Mn 0.000 0.000 0.500

=====

[15]
The following is a PBEsol calculation of a relaxed Tc5W crystal, from the Alexandria database.

Results
DOS at the Fermi energy: 7.0 states/eV/cell
distance to the lowest polymorph of the same formula: 0.011 eV/atom
formation energy: 8 kJ/mol of atoms
M_tot: 0.00 μB/f.u.
volume: 85.7 Å³/cell

abc: 2.735 4.409 7.236
angles: 90.00 100.90 90.00
Positions (direct):
Tc 0.667 0.000 0.334
Tc 0.558 0.500 0.116
Tc 0.220 0.500 0.439
W 0.889 0.500 0.778
Tc 0.331 0.000 0.663
Tc 0.002 0.000 0.003

=====

[16]
The following is a PBEsol calculation of a relaxed TlHPd2 crystal, from the Alexandria database.

Results
DOS at the Fermi energy: 1.7 states/eV/cell
M_tot: 0.00 μB/f.u.
volume: 110.5 Å³/cell
final energy: -4.64 eV per atom

abc: 5.237 5.237 5.237
angles: 110.63 108.89 108.89
Positions (direct):
Pd 0.377 0.502 0.625
H 0.500 0.250 0.750
Tl 0.000 0.000 0.000
Tl 0.500 0.750 0.250
Pd 0.623 0.248 0.125
H 0.000 0.500 0.500
Pd 0.123 0.875 0.498
Pd 0.877 0.375 0.752

=====

[17]
The following is a PBEsol calculation of a relaxed Ba2NiP crystal, from the Alexandria database.

Results
DOS at the Fermi energy: 4.2 states/eV/cell
formation energy: 10 kJ/mol of atoms
M_tot: 0.00 μB/f.u.
volume: 99.3 Å³/cell

abc: 5.198 5.198 5.198
angles: 60.00 60.00 60.00
Positions (direct):
Ba 0.000 0.000 0.000
Ni 0.500 0.500 0.500
P 0.250 0.250 0.250
Ba 0.750 0.750 0.750

=====

[18]
The following is a PBEsol calculation of a relaxed KSrSi2 crystal, from the Alexandria database.

Results
DOS at the Fermi energy: 1.7 states/eV/cell
distance to the lowest polymorph of the same formula: 0.000 eV/atom
M_tot: 0.00 μB/f.u.
volume: 138.8 Å³/cell
ΔE_f (raw): -128.7 meV/atom

abc: 3.967 5.935 6.594
angles: 78.74 72.50 70.48
Positions (direct):
Si 0.244 0.589 0.923
K 0.000 0.500 0.500
Sr 0.500 0.000 0.000
Si 0.756 0.411 0.077

=====

[19]
The following is a PBEsol calculation of a relaxed ReAuSe2 crystal, from the Alexandria database.

Results
DOS at the Fermi energy: 2.4 states/eV/cell
distance to the lowest polymorph of the same formula: 0.028 eV/atom
M_tot: 0.00 μB/f.u.
volume: 80.5 Å³/cell
ΔE_f (raw): 300.5 meV/atom

abc: 3.287 3.582 7.026
angles: 90.00 103.41 90.00
Positions (direct):
Au 0.068 0.000 0.511
Re 0.664 0.500 0.704
Se 0.783 0.000 0.943
Se 0.485 0.500 0.343

=====

[20]
The following is a PBEsol calculation of a relaxed Sm6Si19Rh30 crystal, from the Alexandria database.

Results
DOS at the Fermi energy: 17.9 states/eV/cell
M_tot: 0.00 μB/f.u.
volume: 807.1 Å³/cell
ΔE_f (raw): -1052.1 meV/atom

abc: 3.826 15.607 15.607
angles: 120.00 90.00 90.00
Positions (direct):
Rh 0.751 0.428 0.652
Si 0.751 0.559 0.241
Si 0.750 0.000 0.000
Sm 0.751 0.297 0.397
Rh 0.751 0.538 0.463
Rh 0.251 0.888 0.861
Rh 0.751 0.229 0.956
Rh 0.251 0.463 0.925
Rh 0.251 0.075 0.538
Si 0.751 0.566 0.628
Sm 0.251 0.705 0.605
Si 0.251 0.132 0.254
Si 0.251 0.629 0.063
Si 0.751 0.880 0.134
Rh 0.251 0.264 0.848
Rh 0.251 0.462 0.537
Rh 0.251 0.776 0.428
Rh 0.751 0.727 0.771
Rh 0.751 0.846 0.583
Sm 0.251 0.900 0.295
Si 0.751 0.681 0.441
Rh 0.751 0.841 0.969
Rh 0.251 0.584 0.736
Rh 0.251 0.139 0.027
Si 0.251 0.937 0.566
Si 0.251 0.434 0.371
Rh 0.251 0.973 0.112
Si 0.751 0.372 0.938
Rh 0.251 0.274 0.228
Rh 0.751 0.031 0.872
Rh 0.751 0.537 0.076
Sm 0.251 0.395 0.100
Rh 0.251 0.152 0.416
Rh 0.251 0.651 0.224
Si 0.751 0.062 0.434
Rh 0.751 0.924 0.462
Sm 0.751 0.100 0.703
Si 0.251 0.319 0.559
Si 0.251 0.441 0.759
Si 0.251 0.746 0.878
Si 0.251 0.122 0.868
Si 0.751 0.866 0.746
Si 0.751 0.254 0.120
Rh 0.751 0.348 0.776
Rh 0.751 0.417 0.263
Rh 0.251 0.772 0.047
Rh 0.751 0.128 0.159
Si 0.751 0.759 0.319
Rh 0.751 0.224 0.572
Rh 0.751 0.044 0.273
Rh 0.251 0.572 0.349
Rh 0.751 0.737 0.154
Rh 0.251 0.953 0.726
Sm 0.751 0.603 0.900
Si 0.251 0.241 0.681

=====

[21]
The following is a PBEsol calculation of a relaxed Ga3CoIr crystal, from the Alexandria database.

Results
DOS at the Fermi energy: 7.2 states/eV/cell
formation energy: 53 kJ/mol of atoms
M_tot: 2.19 μB/f.u.
volume: 103.4 Å³/cell

abc: 4.693 4.693 4.693
angles: 90.00 90.00 90.00
Positions (direct):
Ga 0.000 0.500 0.000
Co 0.500 0.500 0.500
Ir 0.000 0.000 0.000
Ga 0.500 0.000 0.000
Ga 0.000 0.000 0.500

=====

[22]
The following is a PBEsol calculation of a relaxed RbSb2Pb2 crystal, from the Alexandria database.

Results
DOS at the Fermi energy: 4.4 states/eV/cell
M_tot: 0.00 μB/f.u.
volume: 323.7 Å³/cell
ΔE_f (raw): -95.5 meV/atom

abc: 3.905 9.104 9.104
angles: 90.00 90.00 90.00
Positions (direct):
Sb 0.500 0.655 0.845
Pb 0.000 0.128 0.372
Rb 0.000 0.500 0.500
Sb 0.500 0.845 0.345
Sb 0.500 0.345 0.155
Pb 0.000 0.872 0.628
Sb 0.500 0.155 0.655
Pb 0.000 0.628 0.128
Rb 0.000 0.000 0.000
Pb 0.000 0.372 0.872

=====

[23]
The following is a PBEsol calculation of a relaxed AlPt3Se crystal, from the Alexandria database.

Results
DOS at the Fermi energy: 5.8 states/eV/cell
M_tot: 0.00 μB/f.u.
volume: 99.9 Å³/cell
ΔE_f (raw): 666.7 meV/atom

abc: 4.640 4.640 4.640
angles: 90.00 90.00 90.00
Positions (direct):
Pt 0.000 0.000 0.500
Pt 0.500 0.000 0.000
Se 0.000 0.000 0.000
Al 0.500 0.500 0.500
Pt 0.000 0.500 0.000